(1)
CaHfCo2Ge | Alexandria via LeMat-Bulk | PBE | optimized geometry; magnetization = 2.8 μB/f.u.
1.0
4.539 0.000 0.000
0.000 4.986 0.000
0.000 0.000 4.539
Ge Co Ca Hf
1 2 1 1
direct
0.000 0.000 0.000 Ge
0.000 0.000 0.500 Co
0.500 0.000 0.000 Co
0.500 0.500 0.500 Ca
0.000 0.500 0.000 Hf

***

(2)
Ca2CoGe4Ir3 | Alexandria via LeMat-Bulk | PBE | optimized geometry; magnetization = 0.0 μB/f.u.
1.0
4.201 0.000 0.000
0.000 4.201 0.000
0.000 0.000 10.228
Ge Ca Ir Co
4 2 3 1
direct
0.500 0.500 0.000 Ge
0.000 0.000 0.000 Ge
0.000 0.500 0.376 Ge
0.500 0.000 0.624 Ge
0.500 0.000 0.254 Ca
0.000 0.500 0.746 Ca
0.000 0.000 0.500 Ir
0.000 0.500 0.132 Ir
0.500 0.000 0.868 Ir
0.500 0.500 0.500 Co

***

(3)
CaMnCoGe2 | Alexandria via LeMat-Bulk | PBE | optimized geometry; magnetization = 2.4 μB/f.u.
1.0
3.998 0.000 0.000
0.000 3.998 0.000
-1.999 -1.999 5.314
Ca Ge Co Mn
1 2 1 1
direct
0.000 0.000 0.000 Ca
0.375 0.375 0.749 Ge
0.625 0.625 0.251 Ge
0.750 0.250 0.500 Co
0.250 0.750 0.500 Mn

***

For the records above, the corresponding formation energy from the elements values read 512; -567; -398 meV per atom.
For the records above, the corresponding calculated volume values read 102.7; 180.5; 84.9 Å³/cell.